# 1
Material: Pr2LuRh
Method: DFT, PBE-GGA
State: relaxed

It has space group P4/mmm (No. 123), with a = 3.662 Å, b = 3.662 Å, c = 8.449 Å, α = 90.00°, β = 90.00° and γ = 90.00°. The inequivalent atoms are Pr at (0.000, 0.000, 0.198), Lu at (0.500, 0.500, 0.500) and Rh at (0.500, 0.500, 0.000).

The energy of formation comes out at -0.223 eV per atom. For the volume, the calculation gives 113.3 Å³/f.u. As for the energy above the lowest structure with this stoichiometry: 0.00 eV per formula unit. The total magnetization comes out at 1.12 Bohr magnetons per cell. The density of states at the Fermi level is 1.282 states/eV/atom. Its crystal system is tetragonal.

=====

# 2
Material: PrLuRh2
Method: DFT, PBE-GGA
State: relaxed

It has space group P4/mmm (No. 123), with a = 3.406 Å, b = 3.406 Å, c = 7.147 Å, α = 90.00°, β = 90.00° and γ = 90.00°. The inequivalent atoms are Pr at (0.000, 0.000, 0.000), Lu at (0.000, 0.000, 0.500) and Rh at (0.500, 0.500, 0.273).

The energy of formation comes out at -0.775 eV per atom. For the volume, the calculation gives 82.9 Å³/f.u. The total magnetization comes out at 0.00 Bohr magnetons per cell. The density of states at the Fermi level is 0.656 states/eV/atom. Its crystal system is tetragonal.

=====

# 3
Material: PrLuRh4
Method: DFT, PBE-GGA
State: relaxed

It has space group F-43m (No. 216), with a = 7.588 Å, b = 7.588 Å, c = 7.588 Å, α = 90.00°, β = 90.00° and γ = 90.00°. The inequivalent atoms are Pr at (0.000, 0.000, 0.000), Lu at (0.250, 0.250, 0.750) and Rh at (0.125, 0.125, 0.375).

The energy of formation comes out at -0.682 eV per atom. For the volume, the calculation gives 109.2 Å³/f.u. The total magnetization comes out at 0.00 Bohr magnetons per cell. The density of states at the Fermi level is 0.684 states/eV/atom. Its crystal system is cubic.

=====

# 4
Material: PrLuRuRh
Method: DFT, PBE-GGA
State: relaxed

It has space group F-43m (No. 216), with a = 6.903 Å, b = 6.903 Å, c = 6.903 Å, α = 90.00°, β = 90.00° and γ = 90.00°. The inequivalent atoms are Pr at (0.000, 0.000, 0.000), Lu at (0.000, 0.000, 0.500), Ru at (0.250, 0.250, 0.750) and Rh at (0.250, 0.250, 0.250).

The energy of formation comes out at -0.494 eV per atom. For the volume, the calculation gives 82.2 Å³/f.u. The total magnetization comes out at 0.00 Bohr magnetons per cell. The density of states at the Fermi level is 0.780 states/eV/atom. Its crystal system is cubic.

=====

# 5
Material: PrLuZnRh
Method: DFT, PBE-GGA
State: relaxed

It has space group F-43m (No. 216), with a = 7.065 Å, b = 7.065 Å, c = 7.065 Å, α = 90.00°, β = 90.00° and γ = 90.00°. The inequivalent atoms are Pr at (0.000, 0.000, 0.000), Lu at (0.000, 0.000, 0.500), Zn at (0.250, 0.250, 0.750) and Rh at (0.250, 0.250, 0.250).

The energy of formation comes out at -0.535 eV per atom. For the volume, the calculation gives 88.2 Å³/f.u. The total magnetization comes out at 0.00 Bohr magnetons per cell. The density of states at the Fermi level is 0.571 states/eV/atom. Its crystal system is cubic.

=====

# 6
Material: PrLu2Ru
Method: DFT, PBE-GGA
State: relaxed

It has space group P4/mmm (No. 123), with a = 3.404 Å, b = 3.404 Å, c = 8.878 Å, α = 90.00°, β = 90.00° and γ = 90.00°. The inequivalent atoms are Pr at (0.000, 0.000, 0.000), Lu at (0.500, 0.500, 0.322) and Ru at (0.000, 0.000, 0.500).

The energy of formation comes out at -0.320 eV per atom. For the volume, the calculation gives 102.9 Å³/f.u. As for the energy above the lowest structure with this stoichiometry: 0.00 eV per formula unit. The total magnetization comes out at 0.00 Bohr magnetons per cell. The density of states at the Fermi level is 0.607 states/eV/atom. Its crystal system is tetragonal.

=====

# 7
Material: PrLuRu2
Method: DFT, PBE-GGA
State: relaxed

It has space group P4/mmm (No. 123), with a = 3.428 Å, b = 3.428 Å, c = 6.885 Å, α = 90.00°, β = 90.00° and γ = 90.00°. The inequivalent atoms are Pr at (0.000, 0.000, 0.000), Lu at (0.000, 0.000, 0.500) and Ru at (0.500, 0.500, 0.264).

The energy of formation comes out at -0.215 eV per atom. For the volume, the calculation gives 80.9 Å³/f.u. The total magnetization comes out at 0.00 Bohr magnetons per cell. The density of states at the Fermi level is 1.260 states/eV/atom. Its crystal system is tetragonal.

=====

# 8
Material: Pr3LuRu
Method: DFT, PBE-GGA
State: relaxed

It has space group Pm-3m (No. 221), with a = 5.552 Å, b = 5.552 Å, c = 5.552 Å, α = 90.00°, β = 90.00° and γ = 90.00°. The inequivalent atoms are Pr at (0.000, 0.000, 0.500), Lu at (0.500, 0.500, 0.500) and Ru at (0.000, 0.000, 0.000).

The energy of formation comes out at 0.084 eV per atom. For the volume, the calculation gives 171.1 Å³/f.u. The total magnetization comes out at 0.00 Bohr magnetons per cell. The density of states at the Fermi level is 1.383 states/eV/atom. Its crystal system is cubic.

=====

# 9
Material: PrLuRu
Method: DFT, PBE-GGA
State: relaxed

It has space group F-43m (No. 216), with a = 6.833 Å, b = 6.833 Å, c = 6.833 Å, α = 90.00°, β = 90.00° and γ = 90.00°. The inequivalent atoms are Pr at (0.000, 0.000, 0.000), Lu at (0.000, 0.000, 0.500) and Ru at (0.250, 0.250, 0.750).

The energy of formation comes out at -0.204 eV per atom. For the volume, the calculation gives 79.8 Å³/f.u. As for the energy above the lowest structure with this stoichiometry: 0.20 eV per formula unit. The total magnetization comes out at 0.00 Bohr magnetons per cell. The density of states at the Fermi level is 0.703 states/eV/atom. Its crystal system is cubic.

=====

# 10
Material: PrLuRu4
Method: DFT, PBE-GGA
State: relaxed

It has space group F-43m (No. 216), with a = 7.591 Å, b = 7.591 Å, c = 7.591 Å, α = 90.00°, β = 90.00° and γ = 90.00°. The inequivalent atoms are Pr at (0.000, 0.000, 0.000), Lu at (0.250, 0.250, 0.750) and Ru at (0.125, 0.125, 0.375).

The energy of formation comes out at -0.210 eV per atom. For the volume, the calculation gives 109.3 Å³/f.u. The total magnetization comes out at 0.01 Bohr magnetons per cell. The density of states at the Fermi level is 1.108 states/eV/atom. Its crystal system is cubic.

=====

# 11
Material: PrLu2Ru
Method: DFT, PBE-GGA
State: relaxed

It has space group R-3m (No. 166, hexagonal axes), with a = 3.5290 Å, b = 3.5290 Å, c = 29.7095 Å, α = 90.00°, β = 90.00° and γ = 120.00°. The inequivalent atoms are Pr at (0.0000, 0.0000, 0.0000), Lu at (0.0000, 0.0000, 0.2286) and Ru at (0.0000, 0.0000, 0.5000).

The energy of formation comes out at -0.079 eV per atom. For the volume, the calculation gives 106.8 Å³/f.u. As for the energy above the lowest structure with this stoichiometry: 0.96 eV per formula unit. The total magnetization comes out at 0.02 Bohr magnetons per cell. The density of states at the Fermi level is 1.565 states/eV/atom. Its crystal system is trigonal.

=====

# 12
Material: PrLuRu
Method: DFT, PBE-GGA
State: relaxed

It has space group I4mm (No. 107), with a = 3.428 Å, b = 3.428 Å, c = 13.116 Å, α = 90.00°, β = 90.00° and γ = 90.00°. The inequivalent atoms are Pr at (0.000, 0.000, 0.000), Lu at (0.000, 0.000, 0.255) and Ru at (0.000, 0.000, 0.639).

The energy of formation comes out at -0.269 eV per atom. For the volume, the calculation gives 77.1 Å³/f.u. As for the energy above the lowest structure with this stoichiometry: 0.00 eV per formula unit. The total magnetization comes out at 0.00 Bohr magnetons per cell. The density of states at the Fermi level is 0.507 states/eV/atom. Its crystal system is tetragonal.

=====

# 13
Material: PrLuZnRu
Method: DFT, PBE-GGA
State: relaxed

It has space group F-43m (No. 216), with a = 7.033 Å, b = 7.033 Å, c = 7.033 Å, α = 90.00°, β = 90.00° and γ = 90.00°. The inequivalent atoms are Pr at (0.000, 0.000, 0.000), Lu at (0.000, 0.000, 0.500), Zn at (0.250, 0.250, 0.250) and Ru at (0.250, 0.250, 0.750).

The energy of formation comes out at -0.275 eV per atom. For the volume, the calculation gives 87.0 Å³/f.u. The total magnetization comes out at 0.00 Bohr magnetons per cell. The density of states at the Fermi level is 0.774 states/eV/atom. Its crystal system is cubic.

=====

# 14
Material: PrLu3S6
Method: DFT, PBE-GGA
State: relaxed

It has space group P2_1/m (No. 11), with a = 10.952 Å, b = 3.938 Å, c = 11.206 Å, α = 90.00°, β = 108.97° and γ = 90.00°. The inequivalent atoms are Pr at (0.051, 0.250, 0.197), Lu at (0.161, 0.250, 0.588), Lu at (0.321, 0.750, 0.999), Lu at (0.444, 0.250, 0.334), S at (0.082, 0.750, 0.409), S at (0.121, 0.250, 0.964), S at (0.199, 0.750, 0.749), S at (0.269, 0.750, 0.230), S at (0.393, 0.250, 0.557) and S at (0.478, 0.250, 0.111).

For the volume, the calculation gives 228.5 Å³/f.u. The calculation puts the raw formation energy at -47.93 kcal/mol of atoms. The total magnetization comes out at 0.00 Bohr magnetons per cell. Its crystal system is monoclinic.

=====

# 15
Material: Pr3LuS
Method: DFT, PBE-GGA
State: relaxed

It has space group Pm-3m (No. 221), with a = 5.523 Å, b = 5.523 Å, c = 5.523 Å, α = 90.00°, β = 90.00° and γ = 90.00°. The inequivalent atoms are Pr at (0.000, 0.000, 0.500), Lu at (0.500, 0.500, 0.500) and S at (0.000, 0.000, 0.000).

For the volume, the calculation gives 168.4 Å³/f.u. The calculation puts the raw formation energy at -15.02 kcal/mol of atoms. The total magnetization comes out at 0.00 Bohr magnetons per cell. The density of states at the Fermi level is 1.159 states/eV/atom. Its crystal system is cubic.

=====

# 16
Material: PrLu2Sb
Method: DFT, PBE-GGA
State: relaxed

It has space group P4/mmm (No. 123), with a = 3.899 Å, b = 3.899 Å, c = 7.599 Å, α = 90.00°, β = 90.00° and γ = 90.00°. The inequivalent atoms are Pr at (0.000, 0.000, 0.000), Lu at (0.500, 0.500, 0.286) and Sb at (0.000, 0.000, 0.500).

For the volume, the calculation gives 115.5 Å³/f.u. As for the energy above the lowest structure with this stoichiometry: 0.05 eV per formula unit. The calculation puts the raw formation energy at -9.92 kcal/mol of atoms. The total magnetization comes out at 0.00 Bohr magnetons per cell. The density of states at the Fermi level is 1.104 states/eV/atom. Its crystal system is tetragonal.

=====

# 17
Material: PrLu2Sb
Method: DFT, PBE-GGA
State: relaxed

It has space group P4/mmm (No. 123), with a = 4.826 Å, b = 4.826 Å, c = 4.753 Å, α = 90.00°, β = 90.00° and γ = 90.00°. The inequivalent atoms are Pr at (0.000, 0.000, 0.000), Lu at (0.000, 0.500, 0.500) and Sb at (0.500, 0.500, 0.000).

For the volume, the calculation gives 110.7 Å³/f.u. As for the energy above the lowest structure with this stoichiometry: 0.00 eV per formula unit. The calculation puts the raw formation energy at -10.19 kcal/mol of atoms. The total magnetization comes out at 0.01 Bohr magnetons per cell. The density of states at the Fermi level is 1.277 states/eV/atom. Its crystal system is tetragonal.

=====

# 18
Material: PrLu2Sb
Method: DFT, PBE-GGA
State: relaxed

It has space group Fm-3m (No. 225), with a = 7.604 Å, b = 7.604 Å, c = 7.604 Å, α = 90.00°, β = 90.00° and γ = 90.00°. The inequivalent atoms are Pr at (0.000, 0.000, 0.000), Lu at (0.250, 0.250, 0.250) and Sb at (0.000, 0.000, 0.500).

For the volume, the calculation gives 109.9 Å³/f.u. As for the energy above the lowest structure with this stoichiometry: 1.08 eV per formula unit. The calculation puts the raw formation energy at -3.97 kcal/mol of atoms. The total magnetization comes out at 2.73 Bohr magnetons per cell. The density of states at the Fermi level is 1.711 states/eV/atom. Its crystal system is cubic.

=====

# 19
Material: Pr2LuSb
Method: DFT, PBE-GGA
State: relaxed

It has space group P4/mmm (No. 123), with a = 4.879 Å, b = 4.879 Å, c = 4.915 Å, α = 90.00°, β = 90.00° and γ = 90.00°. The inequivalent atoms are Pr at (0.000, 0.500, 0.000), Lu at (0.000, 0.000, 0.500) and Sb at (0.500, 0.500, 0.500).

For the volume, the calculation gives 117.0 Å³/f.u. The calculation puts the raw formation energy at -11.33 kcal/mol of atoms. The total magnetization comes out at 0.00 Bohr magnetons per cell. The density of states at the Fermi level is 0.894 states/eV/atom. Its crystal system is tetragonal.

=====

# 20
Material: PrLu2Sc
Method: DFT, PBE-GGA
State: relaxed

It has space group P4/mmm (No. 123), with a = 3.844 Å, b = 3.844 Å, c = 8.201 Å, α = 90.00°, β = 90.00° and γ = 90.00°. The inequivalent atoms are Pr at (0.000, 0.000, 0.000), Lu at (0.500, 0.500, 0.284) and Sc at (0.000, 0.000, 0.500).

The energy of formation comes out at 0.079 eV per atom. For the volume, the calculation gives 121.2 Å³/f.u. As for the energy above the lowest structure with this stoichiometry: 0.10 eV per formula unit. The total magnetization comes out at 0.00 Bohr magnetons per cell. The density of states at the Fermi level is 1.560 states/eV/atom. Its crystal system is tetragonal.